VASP calculation (GGA-PBE) on crystalline CaEuN at its relaxed geometry.

a b c (Å): 4.361 4.361 4.361
angles (deg): 60.00 60.00 60.00
Sites, in units of the cell vectors:
Eu (0.000, 0.000, 0.000)
N (0.250, 0.250, 0.250)
Ca (0.500, 0.500, 0.500)

Computed properties:
DFT total energy, eV/atom: -7.1866
Uncorrected formation energy, meV per atom: -319
Energy above the most stable polymorph in this dataset, eV/atom: 0.431
Fermi-level density of states, states/eV/atom: 0.554

VASP calculation (GGA-PBE) on crystalline Sc6NbAl5 at its relaxed geometry.

a b c (Å): 4.807 6.779 8.342
angles (deg): 113.98 106.74 90.00
Sites, in units of the cell vectors:
Al (0.667, 0.667, 0.333)
Al (0.333, 0.333, 0.667)
Al (0.341, 0.841, 0.682)
Sc (0.500, 0.750, 0.000)
Sc (0.167, 0.416, 0.333)
Sc (0.833, 0.584, 0.667)
Sc (0.167, 0.917, 0.333)
Sc (0.500, 0.250, 0.000)
Nb (0.000, 0.000, 0.000)
Al (0.000, 0.500, 0.000)
Al (0.659, 0.159, 0.318)
Sc (0.833, 0.083, 0.667)

Computed properties:
Calculated formation energy, kJ/mol of formula units: -436
DFT total energy, eV/atom: -5.9410
Fermi-level density of states, states/eV/atom: 0.962

VASP calculation (GGA-PBE) on crystalline K2CuTc at its relaxed geometry.

a b c (Å): 11.378 11.378 11.378
angles (deg): 15.05 15.05 15.05
Sites, in units of the cell vectors:
Tc (0.250, 0.250, 0.250)
K (0.002, 0.002, 0.002)
Cu (0.750, 0.750, 0.750)
K (0.498, 0.498, 0.498)

Computed properties:
Calculated formation energy, kJ/mol of formula units: 465
DFT total energy, eV/atom: -2.9592
Energy above the most stable polymorph in this dataset, eV/atom: 0.390
Fermi-level density of states, states/eV/atom: 0.697

VASP calculation (GGA-PBE) on crystalline Mn4CrOs at its relaxed geometry.

a b c (Å): 4.612 4.612 4.612
angles (deg): 60.00 60.00 60.00
Sites, in units of the cell vectors:
Mn (0.625, 0.625, 0.625)
Os (0.250, 0.250, 0.250)
Cr (0.000, 0.000, 0.000)
Mn (0.625, 0.625, 0.124)
Mn (0.625, 0.124, 0.625)
Mn (0.124, 0.625, 0.625)

Computed properties:
Calculated formation energy, kJ/mol of formula units: 21
DFT total energy, eV/atom: -9.5517
Fermi-level density of states, states/eV/atom: 0.585

VASP calculation (GGA-PBE) on crystalline Li2GaHAu at its relaxed geometry.

a b c (Å): 3.886 3.886 4.218
angles (deg): 90.00 90.00 90.00
Sites, in units of the cell vectors:
Li (0.000, 0.500, 0.000)
Ga (0.000, 0.000, 0.500)
Au (0.500, 0.500, 0.500)
Li (0.500, 0.000, 0.000)
H (0.000, 0.000, 0.000)

Computed properties:
DFT total energy, eV/atom: -3.0235
Energy above the most stable polymorph in this dataset, eV/atom: 0.000
Fermi-level density of states, states/eV/atom: 0.208

VASP calculation (GGA-PBE) on crystalline RbYMo2 at its relaxed geometry.

a b c (Å): 4.630 4.630 11.156
angles (deg): 78.02 78.02 90.00
Sites, in units of the cell vectors:
Y (0.750, 0.250, 0.500)
Mo (0.782, 0.625, 0.250)
Mo (0.375, 0.032, 0.750)
Mo (0.968, 0.125, 0.250)
Y (0.000, 0.000, 0.000)
Rb (0.500, 0.500, 0.000)
Rb (0.250, 0.750, 0.500)
Mo (0.875, 0.218, 0.750)

Computed properties:
Calculated formation energy, kJ/mol of formula units: 632
DFT total energy, eV/atom: -5.6361
Energy above the most stable polymorph in this dataset, eV/atom: 0.000
Fermi-level density of states, states/eV/atom: 0.937

VASP calculation (GGA-PBE) on crystalline SrMgSb2 at its relaxed geometry.

a b c (Å): 3.549 5.339 6.507
angles (deg): 90.00 90.00 90.00
Sites, in units of the cell vectors:
Sb (0.000, 0.000, 0.917)
Sr (0.000, 0.000, 0.422)
Mg (0.500, 0.500, 0.826)
Sb (0.500, 0.500, 0.335)

Computed properties:
DFT total energy, eV/atom: -3.2456
Uncorrected formation energy, meV per atom: -365
Fermi-level density of states, states/eV/atom: 0.847

VASP calculation (GGA-PBE) on crystalline ZrTiBi at its relaxed geometry.

a b c (Å): 3.152 4.972 4.972
angles (deg): 120.00 90.00 90.00
Sites, in units of the cell vectors:
Ti (0.220, 0.333, 0.667)
Bi (0.098, 0.000, 0.000)
Zr (0.682, 0.667, 0.333)

Computed properties:
Calculated formation energy, kJ/mol of formula units: 30
DFT total energy, eV/atom: -6.6723
Energy above the most stable polymorph in this dataset, eV/atom: 0.369
Fermi-level density of states, states/eV/atom: 1.830

VASP calculation (GGA-PBE) on crystalline Bi3PdCl at its relaxed geometry.

a b c (Å): 5.436 5.436 5.436
angles (deg): 90.00 90.00 90.00
Sites, in units of the cell vectors:
Bi (0.500, 0.000, 0.000)
Bi (0.000, 0.000, 0.500)
Pd (0.000, 0.000, 0.000)
Bi (0.000, 0.500, 0.000)
Cl (0.500, 0.500, 0.500)

Computed properties:
DFT total energy, eV/atom: -3.5084
Uncorrected formation energy, meV per atom: 228
Energy above the most stable polymorph in this dataset, eV/atom: 0.568
Fermi-level density of states, states/eV/atom: 2.274

VASP calculation (GGA-PBE) on crystalline TlCuTe2 at its relaxed geometry.

a b c (Å): 4.010 7.733 5.064
angles (deg): 89.57 89.97 58.75
Sites, in units of the cell vectors:
Cu (0.494, 0.559, 0.921)
Te (0.750, 0.804, 0.923)
Te (0.240, 0.314, 0.916)
Tl (0.995, 0.059, 0.419)

Computed properties:
DFT total energy, eV/atom: -3.2902
Uncorrected formation energy, meV per atom: -104
Fermi-level density of states, states/eV/atom: 0.291

VASP calculation (GGA-PBE) on crystalline YBrCl at its relaxed geometry.

a b c (Å): 4.916 4.916 4.916
angles (deg): 60.00 60.00 60.00
Sites, in units of the cell vectors:
Y (0.500, 0.500, 0.500)
Br (0.750, 0.750, 0.750)
Cl (0.000, 0.000, 0.000)

Computed properties:
DFT total energy, eV/atom: -4.2812
Uncorrected formation energy, meV per atom: -953
Fermi-level density of states, states/eV/atom: 0.321

VASP calculation (GGA-PBE) on crystalline SrCu2Ir at its relaxed geometry.

a b c (Å): 3.340 3.340 6.507
angles (deg): 90.00 90.00 90.00
Sites, in units of the cell vectors:
Cu (0.000, 0.000, 0.068)
Sr (0.500, 0.500, 0.750)
Cu (0.000, 0.000, 0.432)
Ir (0.500, 0.500, 0.250)

Computed properties:
Calculated formation energy, kJ/mol of formula units: 91
DFT total energy, eV/atom: -4.4492
Energy above the most stable polymorph in this dataset, eV/atom: 0.321
Fermi-level density of states, states/eV/atom: 0.663

VASP calculation (GGA-PBE) on crystalline LiSm2GaSe5 at its relaxed geometry.

a b c (Å): 3.991 9.146 11.865
angles (deg): 90.00 90.00 102.60
Sites, in units of the cell vectors:
Li (0.787, 0.574, 0.520)
Ga (0.431, 0.862, 0.455)
Se (0.685, 0.371, 0.849)
Se (0.315, 0.629, 0.349)
Se (0.043, 0.087, 0.069)
Se (0.291, 0.582, 0.669)
Se (0.357, 0.714, 0.998)
Se (0.643, 0.286, 0.498)
Sm (0.879, 0.758, 0.181)
Se (0.501, 0.001, 0.279)
Sm (0.121, 0.242, 0.681)
Se (0.709, 0.418, 0.169)
Se (0.499, 0.999, 0.779)
Li (0.213, 0.426, 0.020)
Sm (0.133, 0.265, 0.305)
Se (0.957, 0.913, 0.569)
Ga (0.569, 0.138, 0.955)
Sm (0.867, 0.735, 0.805)

Computed properties:
DFT total energy, eV/atom: -4.9498
Uncorrected formation energy, meV per atom: -1416

VASP calculation (GGA-PBE) on crystalline CoB2IrPt at its relaxed geometry.

a b c (Å): 3.699 4.892 3.699
angles (deg): 90.00 90.00 90.00
Sites, in units of the cell vectors:
B (0.000, 0.000, 0.500)
Pt (0.000, 0.500, 0.000)
Co (0.000, 0.000, 0.000)
B (0.500, 0.000, 0.000)
Ir (0.500, 0.500, 0.500)

Computed properties:
Calculated formation energy, kJ/mol of formula units: 558
DFT total energy, eV/atom: -5.9156
Fermi-level density of states, states/eV/atom: 1.016

VASP calculation (GGA-PBE) on crystalline Tb5PrNd12 at its relaxed geometry.

a b c (Å): 15.481 10.944 5.165
angles (deg): 90.00 90.00 45.04
Sites, in units of the cell vectors:
Tb (0.832, 0.336, 0.500)
Nd (0.167, 0.000, 0.500)
Nd (0.831, 0.667, 0.500)
Nd (0.665, 0.000, 0.000)
Nd (0.667, 0.335, 0.000)
Nd (0.999, 0.334, 0.000)
Nd (0.498, 0.333, 0.500)
Nd (0.502, 0.667, 0.500)
Tb (0.667, 0.667, 0.000)
Pr (0.000, 0.000, 0.000)
Tb (0.500, 0.000, 0.500)
Nd (0.001, 0.666, 0.000)
Nd (0.833, 0.000, 0.500)
Nd (0.335, 0.000, 0.000)
Nd (0.169, 0.333, 0.500)
Tb (0.168, 0.664, 0.500)
Tb (0.333, 0.333, 0.000)
Nd (0.333, 0.665, 0.000)

Computed properties:
Calculated formation energy, kJ/mol of formula units: 28
DFT total energy, eV/atom: -4.7144
Fermi-level density of states, states/eV/atom: 1.540

VASP calculation (GGA-PBE) on crystalline MgGaFeNi at its relaxed geometry.

a b c (Å): 4.168 4.168 4.168
angles (deg): 60.00 60.00 60.00
Sites, in units of the cell vectors:
Ga (0.250, 0.250, 0.250)
Fe (0.000, 0.000, 0.000)
Ni (0.500, 0.500, 0.500)
Mg (0.750, 0.750, 0.750)

Computed properties:
Calculated formation energy, kJ/mol of formula units: -26
DFT total energy, eV/atom: -4.7825
Fermi-level density of states, states/eV/atom: 0.689

VASP calculation (GGA-PBE) on crystalline Ba2ReMo at its relaxed geometry.

a b c (Å): 5.619 2.997 6.687
angles (deg): 63.70 90.00 90.00
Sites, in units of the cell vectors:
Mo (0.500, 0.250, 0.250)
Ba (0.000, 0.500, 0.501)
Re (0.500, 0.750, 0.750)
Ba (0.000, 0.000, 0.999)

Computed properties:
Calculated formation energy, kJ/mol of formula units: 608
DFT total energy, eV/atom: -5.2050
Energy above the most stable polymorph in this dataset, eV/atom: 1.074
Fermi-level density of states, states/eV/atom: 1.031

VASP calculation (GGA-PBE) on crystalline ZrCoPd2 at its relaxed geometry.

a b c (Å): 3.809 3.809 9.576
angles (deg): 78.53 78.53 90.00
Sites, in units of the cell vectors:
Pd (0.139, 0.625, 0.250)
Pd (0.611, 0.125, 0.250)
Zr (0.000, 0.000, 0.000)
Pd (0.875, 0.861, 0.750)
Co (0.250, 0.750, 0.500)
Zr (0.750, 0.250, 0.500)
Pd (0.375, 0.389, 0.750)
Co (0.500, 0.500, 0.000)

Computed properties:
Calculated formation energy, kJ/mol of formula units: -37
DFT total energy, eV/atom: -6.6062
Fermi-level density of states, states/eV/atom: 0.904

VASP calculation (GGA-PBE) on crystalline Y3ScPd12 at its relaxed geometry.

a b c (Å): 4.104 4.104 16.414
angles (deg): 90.00 90.00 90.00
Sites, in units of the cell vectors:
Pd (0.500, 0.000, 0.882)
Pd (0.500, 0.500, 0.000)
Sc (0.000, 0.000, 0.000)
Pd (0.000, 0.500, 0.627)
Pd (0.500, 0.000, 0.373)
Pd (0.500, 0.000, 0.627)
Pd (0.500, 0.500, 0.500)
Pd (0.500, 0.000, 0.118)
Pd (0.500, 0.500, 0.754)
Y (0.000, 0.000, 0.246)
Y (0.000, 0.000, 0.754)
Pd (0.000, 0.500, 0.118)
Pd (0.500, 0.500, 0.246)
Pd (0.000, 0.500, 0.882)
Y (0.000, 0.000, 0.500)
Pd (0.000, 0.500, 0.373)

Computed properties:
Calculated formation energy, kJ/mol of formula units: -1299
DFT total energy, eV/atom: -6.3438
Fermi-level density of states, states/eV/atom: 0.769

VASP calculation (GGA-PBE) on crystalline ZnBr3Cl at its relaxed geometry.

a b c (Å): 5.188 5.188 5.188
angles (deg): 90.00 90.00 90.00
Sites, in units of the cell vectors:
Zn (0.000, 0.000, 0.000)
Cl (0.500, 0.500, 0.500)
Br (0.000, 0.500, 0.000)
Br (0.500, 0.000, 0.000)
Br (0.000, 0.000, 0.500)

Computed properties:
DFT total energy, eV/atom: -1.6342
Uncorrected formation energy, meV per atom: -6
Energy above the most stable polymorph in this dataset, eV/atom: 0.000
Fermi-level density of states, states/eV/atom: 1.199